Below is a relaxed ZrGaTcAs2 crystal, with properties calculated at the PBE level.

The formation enthalpy at 0 K comes out at 0.30 eV/atom. Its total magnetization is 0.00 μB per formula unit. The calculation puts the density of states at the Fermi level at 4.55 states/eV per cell. For the excess energy over the best structure of this formula in the dataset, the calculation gives 0.0 meV per atom.

Cell: 4.7148 5.2015 4.7148 Å, 90.00 90.00 90.00°
Fractional positions:
As (0.0000, 0.0000, 0.5000)
As (0.5000, 0.0000, 0.0000)
Ga (0.5000, 0.5000, 0.5000)
Tc (0.0000, 0.0000, 0.0000)
Zr (0.0000, 0.5000, 0.0000)